Entry 1:
An optimized crystal structure of B7C5, computed with PBE.

Properties
total magnetic moment = 0.00 μB/atom
E_tot = -7.250 eV/atom

Lattice parameters (Å, degrees): 2.5945 2.5945 14.2692 90.00 90.00 120.00
Space group P3m1 (No. 156)
Unique sites:
B1 0.0000 0.0000 0.0000 (multiplicity 1)
B2 0.0000 0.0000 0.1191 (multiplicity 1)
B3 0.0000 0.0000 0.5136 (multiplicity 1)
B4 0.3333 0.6667 0.7749 (multiplicity 1)
B5 0.6667 0.3333 0.3201 (multiplicity 1)
B6 0.6667 0.3333 0.4390 (multiplicity 1)
B7 0.6667 0.3333 0.9242 (multiplicity 1)
C1 0.0000 0.0000 0.6251 (multiplicity 1)
C2 0.3333 0.6667 0.1711 (multiplicity 1)
C3 0.3333 0.6667 0.2692 (multiplicity 1)
C4 0.3333 0.6667 0.6575 (multiplicity 1)
C5 0.6667 0.3333 0.8165 (multiplicity 1)

Entry 2:
An optimized crystal structure of BC, computed with PBE.

Properties
total magnetic moment = 0.00 μB/atom
E_tot = -7.482 eV/atom

Lattice parameters (Å, degrees): 12.747 2.484 5.185 90.00 100.80 90.00
Space group Cm (No. 8)
Unique sites:
B1 0.000 0.000 0.000 (multiplicity 2)
B2 0.016 0.000 0.585 (multiplicity 2)
B3 0.101 0.500 0.082 (multiplicity 2)
B4 0.178 0.500 0.402 (multiplicity 2)
B5 0.325 0.000 0.207 (multiplicity 2)
B6 0.425 0.500 0.286 (multiplicity 2)
C1 0.099 0.500 0.622 (multiplicity 2)
C2 0.187 0.500 0.878 (multiplicity 2)
C3 0.257 0.000 0.914 (multiplicity 2)
C4 0.263 0.000 0.443 (multiplicity 2)
C5 0.337 0.000 0.712 (multiplicity 2)
C6 0.407 0.500 0.751 (multiplicity 2)

Entry 3:
An optimized crystal structure of BC, computed with PBE.

Properties
total magnetic moment = 0.00 μB/atom
E_tot = -7.610 eV/atom

Lattice parameters (Å, degrees): 2.462 2.446 13.163 90.00 90.00 90.00
Space group Pmma (No. 51)
Unique sites:
B1 0.250 0.000 0.117 (multiplicity 2)
B2 0.250 0.000 0.785 (multiplicity 2)
B3 0.250 0.500 0.684 (multiplicity 2)
C1 0.250 0.000 0.463 (multiplicity 2)
C2 0.250 0.500 0.032 (multiplicity 2)
C3 0.250 0.500 0.398 (multiplicity 2)

Entry 4:
An optimized crystal structure of B3C5, computed with PBE.

Properties
total magnetic moment = 0.00 μB/atom
E_tot = -7.909 eV/atom

Lattice parameters (Å, degrees): 8.858 2.508 4.700 90.00 97.55 90.00
Space group Cm (No. 8)
Unique sites:
B1 0.000 0.000 0.000 (multiplicity 2)
B2 0.090 0.500 0.243 (multiplicity 2)
B3 0.335 0.000 0.473 (multiplicity 2)
C1 0.024 0.500 0.550 (multiplicity 2)
C2 0.083 0.000 0.705 (multiplicity 2)
C3 0.261 0.000 0.785 (multiplicity 2)
C4 0.269 0.500 0.263 (multiplicity 2)
C5 0.316 0.500 0.957 (multiplicity 2)

Entry 5:
An optimized crystal structure of B7C5, computed with PBE.

Properties
total magnetic moment = 0.00 μB/atom
E_tot = -7.316 eV/atom

Lattice parameters (Å, degrees): 13.076 2.553 5.206 90.00 101.40 90.00
Space group Cm (No. 8)
Unique sites:
B1 0.000 0.000 0.000 (multiplicity 2)
B2 0.013 0.000 0.415 (multiplicity 2)
B3 0.089 0.500 0.961 (multiplicity 2)
B4 0.105 0.500 0.541 (multiplicity 2)
B5 0.203 0.500 0.365 (multiplicity 2)
B6 0.269 0.000 0.874 (multiplicity 2)
B7 0.405 0.500 0.720 (multiplicity 2)
C1 0.185 0.500 0.836 (multiplicity 2)
C2 0.275 0.000 0.366 (multiplicity 2)
C3 0.339 0.000 0.643 (multiplicity 2)
C4 0.345 0.000 0.163 (multiplicity 2)
C5 0.413 0.500 0.199 (multiplicity 2)

Entry 6:
An optimized crystal structure of BC, computed with PBE.

Properties
total magnetic moment = 0.00 μB/atom
E_tot = -7.545 eV/atom

Lattice parameters (Å, degrees): 13.392 2.540 4.823 90.00 102.71 90.00
Space group Cm (No. 8)
Unique sites:
B1 0.000 0.000 0.000 (multiplicity 2)
B2 0.011 0.000 0.344 (multiplicity 2)
B3 0.037 0.500 0.603 (multiplicity 2)
B4 0.148 0.000 0.223 (multiplicity 2)
B5 0.308 0.000 0.983 (multiplicity 2)
B6 0.372 0.500 0.239 (multiplicity 2)
C1 0.160 0.500 0.722 (multiplicity 2)
C2 0.183 0.000 0.907 (multiplicity 2)
C3 0.202 0.500 0.446 (multiplicity 2)
C4 0.319 0.500 0.519 (multiplicity 2)
C5 0.356 0.000 0.699 (multiplicity 2)
C6 0.470 0.000 0.822 (multiplicity 2)